A plane-wave DFT calculation with PBE was carried out for a relaxed structure of Ac2RuAuN.

abc: 3.8839 5.5170 5.5170
angles: 90.00 90.00 90.00
Sites, in units of the cell vectors:
Ru: 0.5000 0.0000 0.0000
Au: 0.5000 0.5000 0.5000
Ac: 0.0000 0.0000 0.5000
N: 0.0000 0.0000 0.0000
Ac: 0.0000 0.5000 0.0000

Values from the calculation:
symmetry = No. 123
formation energy from raw total energies = -349 kJ/mol of formula units
crystal system = tetragonal
size of the total moment = 0.00 μB per formula unit